[1]
The following is a DFT calculation (PBE) of crystalline GdLuAg2Sn2 at its relaxed geometry.

Unit cell a=4.724 b=4.724 c=7.297 alpha=90.00 beta=90.00 gamma=120.00
Atoms (fractional coordinates):
Gd 0.000 0.000 0.000
Lu 0.000 0.000 0.501
Ag 0.333 0.667 0.195
Ag 0.667 0.333 0.684
Sn 0.333 0.667 0.776
Sn 0.667 0.333 0.282

Results
- Final energy: -4.376 eV/atom



[2]
The following is a DFT calculation (PBE) of crystalline PaNbSi at its relaxed geometry.

Unit cell a=6.435 b=6.435 c=6.435 alpha=90.00 beta=90.00 gamma=90.00
Atoms (fractional coordinates):
Pa 0.000 0.000 0.000
Pa 0.000 0.500 0.500
Pa 0.500 0.000 0.500
Pa 0.500 0.500 0.000
Nb 0.000 0.000 0.500
Nb 0.000 0.500 0.000
Nb 0.500 0.000 0.000
Nb 0.500 0.500 0.500
Si 0.250 0.250 0.750
Si 0.250 0.750 0.250
Si 0.750 0.250 0.250
Si 0.750 0.750 0.750

Results
- Energy relative to the lowest polymorph listed for this composition: 0 kJ/mol of formula units



[3]
The following is a DFT calculation (PBE) of crystalline ZrPd2C3 at its relaxed geometry.

Unit cell a=3.323 b=3.323 c=7.128 alpha=90.00 beta=90.00 gamma=120.00
Atoms (fractional coordinates):
Zr 0.000 0.000 0.000
Pd 0.333 0.667 0.665
Pd 0.667 0.333 0.335
C 0.000 0.000 0.500
C 0.333 0.667 0.179
C 0.667 0.333 0.821

Results
- Final energy: -7.076 eV/atom



[4]
The following is a DFT calculation (PBE) of crystalline PmUIr at its relaxed geometry.

Unit cell a=6.777 b=6.777 c=6.777 alpha=90.00 beta=90.00 gamma=90.00
Atoms (fractional coordinates):
Pm 0.000 0.000 0.000
Pm 0.000 0.500 0.500
Pm 0.500 0.000 0.500
Pm 0.500 0.500 0.000
U 0.000 0.000 0.500
U 0.000 0.500 0.000
U 0.500 0.000 0.000
U 0.500 0.500 0.500
Ir 0.250 0.250 0.250
Ir 0.250 0.750 0.750
Ir 0.750 0.250 0.750
Ir 0.750 0.750 0.250

Results
- Energy relative to the lowest polymorph listed for this composition: 0 kJ/mol of formula units
- Energy of formation: -0.062 eV/atom



[5]
The following is a DFT calculation (PBE) of crystalline SmTmAsO at its relaxed geometry.

Unit cell a=4.113 b=7.903 c=5.647 alpha=90.00 beta=90.00 gamma=90.00
Atoms (fractional coordinates):
Sm 0.000 0.122 0.000
Sm 0.000 0.878 0.500
Tm 0.500 0.286 0.459
Tm 0.500 0.714 0.959
As 0.500 0.359 0.954
As 0.500 0.641 0.454
O 0.000 0.176 0.418
O 0.000 0.824 0.918

Results
- Energy relative to the lowest polymorph listed for this composition: 23 kJ/mol of formula units



[6]
The following is a DFT calculation (PBE) of crystalline MgZrTcBi at its relaxed geometry.

Unit cell a=6.821 b=6.821 c=6.821 alpha=90.00 beta=90.00 gamma=90.00
Atoms (fractional coordinates):
Mg 0.000 0.000 0.000
Mg 0.000 0.500 0.500
Mg 0.500 0.000 0.500
Mg 0.500 0.500 0.000
Zr 0.250 0.250 0.750
Zr 0.250 0.750 0.250
Zr 0.750 0.250 0.250
Zr 0.750 0.750 0.750
Tc 0.250 0.250 0.250
Tc 0.250 0.750 0.750
Tc 0.750 0.250 0.750
Tc 0.750 0.750 0.250
Bi 0.000 0.000 0.500
Bi 0.000 0.500 0.000
Bi 0.500 0.000 0.000
Bi 0.500 0.500 0.500

Results
- Energy relative to the lowest polymorph listed for this composition: 73 kJ/mol of formula units



[7]
The following is a DFT calculation (PBE) of crystalline CsNaPr at its relaxed geometry.

Unit cell a=9.064 b=9.064 c=9.064 alpha=90.00 beta=90.00 gamma=90.00
Atoms (fractional coordinates):
Cs 0.000 0.000 0.000
Cs 0.000 0.500 0.500
Cs 0.500 0.000 0.500
Cs 0.500 0.500 0.000
Na 0.250 0.250 0.750
Na 0.250 0.750 0.250
Na 0.750 0.250 0.250
Na 0.750 0.750 0.750
Pr 0.250 0.250 0.250
Pr 0.250 0.750 0.750
Pr 0.750 0.250 0.750
Pr 0.750 0.750 0.250

Results
- Energy relative to the lowest polymorph listed for this composition: 59 kJ/mol of formula units



[8]
The following is a DFT calculation (PBE) of crystalline Y4NiSN2 at its relaxed geometry.

Unit cell a=3.567 b=3.567 c=13.080 alpha=90.00 beta=90.00 gamma=120.00
Atoms (fractional coordinates):
Y 0.000 0.000 0.145
Y 0.000 0.000 0.855
Y 0.333 0.667 0.354
Y 0.333 0.667 0.646
Ni 0.000 0.000 0.500
S 0.333 0.667 0.000
N 0.667 0.333 0.237
N 0.667 0.333 0.763

Results
- Final energy: -7.851 eV/atom